TaCr2Ag: single point on PBEsol structure, meta-GGA SCAN.

The value obtained for the energy relative to the elements is 0.34 eV/atom. The value obtained for the polymorph energy (0 for the lowest one) is 0 meV/atom. For the density of states at the Fermi level, the calculation gives 0.66 states/eV per atom. The value obtained for the total magnetic moment is 0.000 μB/atom.

a = 3.0200 Å, b = 4.3740 Å, c = 8.6316 Å
α = 90.00°, β = 90.00°, γ = 90.00°
Last column: nearest neighbours and their distance in Å.
Positions (direct):
Ta (0.0000, 0.0000, 0.0000)  2 Cr 2.65, 4 Ta 2.66, 2 Ag 2.89
Ta (0.5000, 0.5000, 0.0000)  2 Cr 2.65, 4 Ta 2.66, 2 Ag 2.89
Cr (0.0000, 0.0000, 0.4509)  2 Cr 2.28
Cr (0.0000, 0.5000, 0.2524)  2 Cr 2.28
Cr (0.5000, 0.0000, 0.2524)  2 Cr 2.28
Cr (0.5000, 0.5000, 0.4509)  2 Cr 2.28
Ag (0.0000, 0.5000, 0.7151)  4 Ag 2.66, 2 Cr 2.73, 2 Ta 2.89
Ag (0.5000, 0.0000, 0.7151)  4 Ag 2.66, 2 Cr 2.73, 2 Ta 2.89